Below is a geometry-optimized PmPr9Ho2 structure, with properties calculated at the PBE level.

Values from the calculation:
As for the total energy: -56.7 eV/cell. The calculation puts the formation energy at 0.0147 eV/atom. Its total magnetization is 0.00 Bohr magnetons per cell.

Lattice parameters (Å, degrees): 5.1986 5.1986 15.6007 90.00 90.00 90.00
Space group P4/mmm (No. 123)
Unique sites:
Pm  0.0000  0.0000  0.0000
Pr  0.0000  0.5000  0.1685
Pr  0.0000  0.5000  0.5000
Pr  0.5000  0.5000  0.0000
Pr  0.5000  0.5000  0.3349
Ho  0.0000  0.0000  0.3345

---

Below is a geometry-optimized PmPr8Ho5 structure, with properties calculated at the PBE level.

Values from the calculation:
As for the total energy: -125.1 eV/cell. The calculation puts the formation energy at 0.2382 eV/atom. Its total magnetization is 0.00 Bohr magnetons per cell.

Lattice parameters (Å, degrees): 9.7236 9.7236 10.4308 90.00 90.00 90.00
Space group I-4 (No. 82)
Unique sites:
Pm  0.0000  0.0000  0.0000
Pr  0.0689  0.1729  0.3484
Pr  0.0890  0.3203  0.0023
Ho  0.0000  0.5000  0.2500
Ho  0.1088  0.2971  0.6771

---

Below is a geometry-optimized PmPr6Ho6 structure, with properties calculated at the PBE level.

Values from the calculation:
As for the total energy: -57.7 eV/cell. The calculation puts the formation energy at 0.2494 eV/atom. Its total magnetization is 0.12 Bohr magnetons per cell.

Lattice parameters (Å, degrees): 6.7578 6.7578 11.5063 90.00 90.00 120.00
Space group P6/mmm (No. 191)
Unique sites:
Pm  0.0000  0.0000  0.0000
Pr  0.0000  0.0000  0.3463
Pr  0.3333  0.6667  0.0000
Pr  0.3333  0.6667  0.5000
Ho  0.0000  0.5000  0.2477